(1)
! Ca2PdSe PBE relaxed; values from VASP
&SYSTEM
  ibrav = 0, nat = 4, ntyp = 3
/
ATOMIC_SPECIES
Ca 40.08 Ca.upf
Pd 106.42 Pd.upf
Se 78.96 Se.upf
ATOMIC_POSITIONS angstrom
Ca -5.365 -7.593 -0.807
Ca -1.788 -2.531 -0.269
Pd -3.576 -5.062 -0.538
Se 0.000 0.000 0.000
CELL_PARAMETERS angstrom
-3.382 -2.960 2.368
-3.775 -2.150 -2.632
0.005 -5.015 -0.812
! Distance to the lowest polymorph of the same formula (meV per atom): 134
! Magnetization (μB per cell): 0.00
! Total DFT energy (no corrections) (eV per atom): -4.232

---

(2)
! RbSr2Pd2 PBE relaxed; values from VASP
&SYSTEM
  ibrav = 0, nat = 10, ntyp = 3
/
ATOMIC_SPECIES
Rb 85.47 Rb.upf
Pd 106.42 Pd.upf
Sr 87.62 Sr.upf
ATOMIC_POSITIONS angstrom
Rb -6.058 1.552 0.501
Pd -3.334 0.002 -1.047
Rb 0.000 0.000 0.000
Pd -8.781 3.103 2.049
Pd -8.168 0.359 -2.016
Sr -3.122 -0.271 2.371
Sr -9.671 0.036 0.782
Sr -5.820 -1.999 -1.163
Pd -3.947 2.746 3.018
Sr -6.973 1.765 4.316
CELL_PARAMETERS angstrom
-4.814 4.702 5.782
-7.301 -1.597 -4.780
-0.678 -3.339 2.151
! ΔE_f (meV per atom): -301
! Magnetization (μB per cell): 0.00
! Total DFT energy (no corrections) (eV per atom): -3.244

---

(3)
! CdTe2Pt2 PBE relaxed; values from VASP
&SYSTEM
  ibrav = 0, nat = 5, ntyp = 3
/
ATOMIC_SPECIES
Pt 195.08 Pt.upf
Cd 112.41 Cd.upf
Te 127.60 Te.upf
ATOMIC_POSITIONS angstrom
Pt 2.667 2.667 1.400
Cd 0.000 0.000 0.000
Te 5.335 2.667 2.072
Pt 5.335 5.335 2.744
Te 2.667 5.335 2.072
CELL_PARAMETERS angstrom
5.335 0.000 0.000
0.000 5.335 0.000
2.667 2.667 4.143
! Distance to the lowest polymorph of the same formula (meV per atom): 0
! Magnetization (μB per cell): 0.00
! Total DFT energy (no corrections) (eV per atom): -3.959

---

(4)
! MgPIrO2 PBE relaxed; values from VASP
&SYSTEM
  ibrav = 0, nat = 5, ntyp = 4
/
ATOMIC_SPECIES
Mg 24.30 Mg.upf
Ir 192.22 Ir.upf
O 16.00 O.upf
P 30.97 P.upf
ATOMIC_POSITIONS angstrom
Mg 0.000 0.000 0.000
Ir 1.814 1.814 3.011
O 0.000 1.814 0.000
P 0.000 0.000 3.011
O 1.814 0.000 0.000
CELL_PARAMETERS angstrom
3.629 0.000 0.000
0.000 3.629 0.000
0.000 0.000 6.022
! Distance to the lowest polymorph of the same formula (meV per atom): 552
! Magnetization (μB per cell): 2.22
! Total DFT energy (no corrections) (eV per atom): -5.007

---

(5)
! SmMgHg2 PBE relaxed; values from VASP
&SYSTEM
  ibrav = 0, nat = 4, ntyp = 3
/
ATOMIC_SPECIES
Hg 200.59 Hg.upf
Sm 150.36 Sm.upf
Mg 24.30 Mg.upf
ATOMIC_POSITIONS angstrom
Hg 0.000 0.000 5.808
Sm 1.791 1.791 3.752
Hg 0.000 0.000 1.696
Mg 1.791 1.791 0.000
CELL_PARAMETERS angstrom
3.582 0.000 0.000
0.000 3.582 0.000
0.000 0.000 7.504
! ΔE_f (meV per atom): -382
! Distance to the lowest polymorph of the same formula (meV per atom): 85
! Magnetization (μB per cell): 0.17
! Total DFT energy (no corrections) (eV per atom): -2.111

---

(6)
! Rb2FeIrBr6 PBE relaxed; values from VASP
&SYSTEM
  ibrav = 0, nat = 10, ntyp = 4
/
ATOMIC_SPECIES
Br 79.90 Br.upf
Fe 55.84 Fe.upf
Ir 192.22 Ir.upf
Rb 85.47 Rb.upf
ATOMIC_POSITIONS angstrom
Br 5.594 1.836 0.000
Br 1.836 1.836 0.000
Fe 3.715 3.715 0.000
Br 1.836 5.594 0.000
Br 7.429 7.429 2.590
Br 5.594 5.594 0.000
Ir 0.000 0.000 0.000
Rb 3.715 7.429 2.622
Rb 7.429 3.715 2.622
Br 3.715 3.715 2.654
CELL_PARAMETERS angstrom
7.429 0.000 0.000
0.000 7.429 0.000
3.715 3.715 5.244
! Magnetization (μB per cell): 3.13
! Total DFT energy (no corrections) (eV per atom): -3.639

---

(7)
! TbSmGa6 PBE relaxed; values from VASP
&SYSTEM
  ibrav = 0, nat = 8, ntyp = 3
/
ATOMIC_SPECIES
Sm 150.36 Sm.upf
Ga 69.72 Ga.upf
Tb 158.93 Tb.upf
ATOMIC_POSITIONS angstrom
Sm -2.590 -3.015 -0.589
Ga 0.558 -3.346 -0.835
Ga -0.519 -2.863 1.702
Ga -4.076 -2.711 2.106
Ga 1.983 -5.499 0.194
Ga -2.354 -0.086 0.374
Tb -5.492 -0.162 0.850
Ga -0.776 -5.379 0.507
CELL_PARAMETERS angstrom
-0.547 -2.257 -3.965
3.244 -4.907 2.346
-6.286 0.270 0.714
! ΔE_f (meV per atom): -555
! Magnetization (μB per cell): 0.00
! Total DFT energy (no corrections) (eV per atom): -3.994

---

(8)
! SrEr2S PBE relaxed; values from VASP
&SYSTEM
  ibrav = 0, nat = 4, ntyp = 3
/
ATOMIC_SPECIES
Sr 87.62 Sr.upf
Er 167.26 Er.upf
S 32.06 S.upf
ATOMIC_POSITIONS angstrom
Sr 0.000 0.000 0.000
Er 5.665 3.270 3.511
Er 1.888 1.090 6.603
S 3.776 2.180 5.057
CELL_PARAMETERS angstrom
3.776 0.000 0.000
1.888 3.270 0.000
1.888 1.090 10.114
! Magnetization (μB per cell): 0.00
! Total DFT energy (no corrections) (eV per atom): -4.471